# CoCuSnPd PBE optimized geometry
data_CoCuSnPd
_chemical_formula_sum 'Co4 Cu4 Sn4 Pd4'
_space_group_name_H-M_alt 'F -4 3 m'
_space_group_IT_number 216
_space_group_name_Hall 'F -4 2 3'
_cell_length_a 6.178
_cell_length_b 6.178
_cell_length_c 6.178
_cell_angle_alpha 90.00
_cell_angle_beta 90.00
_cell_angle_gamma 90.00
loop_
_atom_site_label
_atom_site_type_symbol
_atom_site_fract_x
_atom_site_fract_y
_atom_site_fract_z
_atom_site_occupancy
Co1 Co 0.000 0.000 0.000 1
Cu1 Cu 0.250 0.250 0.750 1
Sn1 Sn 0.250 0.250 0.250 1
Pd1 Pd 0.000 0.000 0.500 1
# Total energy: -5.205 eV per atom
# Calculated formation energy: -0.42 eV per formula unit
# Density of states at the Fermi level: 11.7 states/eV/cell